Here is a relaxed ErTl2InI6 crystal from Alexandria. Energies are from PBE.

Structure (POSCAR):
```
ErTl2InI6
1.0
-6.8017 -3.0165 4.2913
-1.3107 -8.4672 0.5883
1.3169 -4.0196 7.8753
I Tl In Er
6 2 1 1
Cartesian
-7.0943 -8.7238 6.5007
-3.7632 -4.4438 4.4876
-2.3676 -9.9448 3.4215
-0.3337 -7.1313 6.8486
-3.7380 -6.1292 9.0754
-2.8150 -10.1488 8.3519
1.1355 -4.0148 7.5975
-3.7053 -7.7353 5.9054
-5.9208 -11.5884 8.2824
-2.6099 -3.8317 1.7718
```

Energy relative to the elements, uncorrected = -0.903 eV per atom

***

Here is a relaxed ErTlIn2I6 crystal from Alexandria. Energies are from PBE.

Structure (POSCAR):
```
ErTlIn2I6
1.0
-3.9709 -3.1943 -6.8803
-6.1327 -5.8986 0.9360
-8.4959 2.3686 -1.5334
I In Er Tl
6 2 1 1
Cartesian
-12.4219 -3.5586 -3.4344
-5.6290 -2.4979 -4.0380
-9.6206 -1.0479 -1.6358
-8.9228 -5.8814 -0.9482
-9.3973 -5.8683 -6.5693
-10.0281 -1.0829 -5.7859
-8.9765 -3.7045 -3.7710
-8.3261 2.1861 -1.5488
-3.4819 -2.9095 -1.9712
-12.9034 -6.1435 -5.6978
```

Energy relative to the elements, uncorrected = -0.861 eV per atom

***

Here is a relaxed Er4IrI5 crystal from Alexandria. Energies are from PBE.

Structure (POSCAR):
```
Er4IrI5
1.0
4.1187 0.0000 0.0000
0.0000 8.8426 0.1188
-2.0593 -2.2199 9.5551
I Er Ir
5 4 1
Cartesian
2.0593 4.4213 0.0594
2.0593 4.3513 6.4167
0.0000 2.2714 3.2572
2.0593 0.0444 6.1650
0.0000 6.5783 3.5089
2.0593 4.8632 9.6304
0.0000 6.6079 6.9660
2.0593 0.0147 2.7079
0.0000 1.7595 0.0435
2.0593 0.0000 0.0000
```

Energy relative to the elements, uncorrected = -1.157 eV per atom

***

Here is a relaxed ErIrI crystal from Alexandria. Energies are from PBE.

Structure (POSCAR):
```
ErIrI
1.0
3.8861 0.0000 0.0000
1.9430 7.2313 0.4880
1.9430 -7.9860 5.2900
Ir Er I
2 2 2
Cartesian
3.8861 -3.7210 4.7747
3.8861 2.9663 1.0033
3.8861 -2.7414 1.8211
3.8861 1.9867 3.9569
5.8291 -1.7947 4.1633
1.9430 1.0400 1.6148
```

Energy relative to the elements, uncorrected = -0.419 eV per atom

***

Here is a relaxed Er2IrI2 crystal from Alexandria. Energies are from PBE.

Structure (POSCAR):
```
Er2IrI2
1.0
-1.6704 1.9567 -3.2136
-3.2048 -1.6598 -1.9815
-8.7630 5.8408 5.4747
Ir Er I
1 2 2
Cartesian
-5.9839 2.0905 1.7466
-5.1070 3.2485 -0.6408
-8.5312 2.8892 0.9204
-8.2683 5.6462 2.4624
-5.3699 0.4915 -2.1828
```

Energy relative to the elements, uncorrected = -1.073 eV per atom

***

Here is a relaxed Er7IrI12 crystal from Alexandria. Energies are from PBE.

Structure (POSCAR):
```
Er7IrI12
1.0
9.7538 0.0035 0.0054
-2.8325 9.3335 0.0054
-2.8325 -3.8212 8.5154
Er I Ir
7 12 1
Cartesian
2.5377 0.7894 0.1834
4.9762 3.1332 7.7311
0.0174 -0.9222 2.4992
2.0444 2.7579 4.2631
-0.8874 2.3827 0.7952
1.5510 4.7264 8.3429
4.0713 6.4380 6.0271
2.9573 0.0489 3.2981
4.9018 3.6733 4.5805
-1.6538 3.6953 7.9331
0.0723 -1.9283 5.7375
1.9993 3.6983 1.3966
1.1315 5.4670 5.2282
2.0894 1.8175 7.1297
5.9548 0.0811 6.6226
5.7425 1.8206 0.5932
-1.8660 5.4348 1.9037
-0.8131 1.8425 3.9458
4.0165 7.4441 2.7888
0.0000 0.0000 0.0000
```

Energy relative to the elements, uncorrected = -1.244 eV per atom

***

Q: The highest energy relative to the elements, uncorrected belongs to which entry?
A: ErIrI

***

Q: The lowest energy relative to the elements, uncorrected belongs to which entry?
A: Er7IrI12

***

Repeat the second record exactly.
Here is a relaxed ErTlIn2I6 crystal from Alexandria. Energies are from PBE.

Structure (POSCAR):
```
ErTlIn2I6
1.0
-3.9709 -3.1943 -6.8803
-6.1327 -5.8986 0.9360
-8.4959 2.3686 -1.5334
I In Er Tl
6 2 1 1
Cartesian
-12.4219 -3.5586 -3.4344
-5.6290 -2.4979 -4.0380
-9.6206 -1.0479 -1.6358
-8.9228 -5.8814 -0.9482
-9.3973 -5.8683 -6.5693
-10.0281 -1.0829 -5.7859
-8.9765 -3.7045 -3.7710
-8.3261 2.1861 -1.5488
-3.4819 -2.9095 -1.9712
-12.9034 -6.1435 -5.6978
```

Energy relative to the elements, uncorrected = -0.861 eV per atom